{"formula": "TmThGa2Pd2", "functional": "PBE", "state": "relaxed", "space_group": "P-3m1, No. 164", "formation_energy_ev_per_atom": -0.82, "lattice_angstrom": [[4.517, 0.000, 0.000], [-2.258, 3.912, 0.000], [0.000, 0.000, 6.963]], "species": ["Tm", "Th", "Ga", "Ga", "Pd", "Pd"], "fractional_positions": [[0.000, 0.000, 0.000], [0.000, 0.000, 0.500], [0.333, 0.667, 0.773], [0.667, 0.333, 0.227], [0.333, 0.667, 0.231], [0.667, 0.333, 0.769]]}